# PW2O8

A relaxed PW2O8 crystal (PBE+U, Alexandria via LeMat-Bulk). Values from VASP.

Cell and atoms, written as Quantum ESPRESSO input:
```
&SYSTEM
  ibrav = 0, nat = 11, ntyp = 3
/
ATOMIC_SPECIES
P 30.97 P.upf
W 183.84 W.upf
O 16.00 O.upf
CELL_PARAMETERS angstrom
6.495 -2.429 0.000
6.495 2.429 0.000
-0.635 0.000 4.895
ATOMIC_POSITIONS crystal
P 0.000 0.000 0.000
W 0.149 0.149 0.454
W 0.851 0.851 0.546
O 0.103 0.103 0.794
O 0.173 0.695 0.792
O 0.287 0.287 0.412
O 0.305 0.827 0.208
O 0.695 0.173 0.792
O 0.713 0.713 0.588
O 0.827 0.305 0.208
O 0.897 0.897 0.206
```

Output
- E above lowest polymorph (meV/atom) = 536
- SG = No. 12